# 1
DFT (PBE) results for crystalline TbHo5In3 at its relaxed geometry.

```
TbHo5In3
1.0
9.303 0.000 0.000
-4.651 8.056 0.000
0.000 0.000 6.697
Tb In Ho
2 6 10
direct
0.000 0.000 0.500
0.000 0.000 0.000
0.335 0.335 0.750
0.000 0.335 0.250
0.665 0.665 0.250
0.665 0.000 0.750
0.335 0.000 0.250
0.000 0.665 0.750
0.333 0.667 0.000
0.333 0.333 0.250
0.667 0.000 0.250
0.000 0.667 0.250
0.000 0.333 0.750
0.333 0.667 0.500
0.667 0.333 0.500
0.667 0.667 0.750
0.667 0.333 0.000
0.333 0.000 0.750
```

Summary:
crystal system = hexagonal

# 2
DFT (PBE) results for crystalline TbHoIn4 at its relaxed geometry.

```
TbHoIn4
1.0
4.641 0.000 0.000
0.000 2.301 7.106
0.000 -2.301 7.106
Tb Ho In
1 1 4
direct
0.000 0.655 0.655
0.000 0.345 0.345
0.500 0.499 0.499
0.500 0.825 0.825
0.500 0.176 0.176
0.000 0.000 0.000
```

Summary:
crystal system = orthorhombic

| no. | electronic total energy (eV per cell) |
| --- | --- |
| 1 | -77.81 |
| 2 | -22.79 |